1.
PaTlIn PBE relaxed; SG = I4mm; formation energy = 0.58 eV per formula unit; total magnetization = 0.999 Bohr magnetons per cell; crystal system = tetragonal; energy above the lowest structure with this stoichiometry = 0.10 eV/f.u.; mass density = 11.68 Mg/m³
1.0
3.201 0.000 0.000
0.000 3.201 0.000
-1.601 -1.601 7.632
Tl In Pa
1 1 1
Direct
0.334 0.334 0.668
0.662 0.662 0.325
0.004 0.004 0.007

***

2.
NpSeBr2 PBE relaxed; SG = Imm2; total magnetization = 3.000 Bohr magnetons per cell; ΔE_f (raw) = -1.02 eV/atom; crystal system = orthorhombic; energy above the lowest structure with this stoichiometry = 0.06 eV/f.u.; mass density = 5.49 Mg/m³
1.0
3.756 0.002 0.000
1.876 6.513 0.278
1.877 2.555 5.996
Br Np Se
2 1 1
Direct
0.415 0.550 0.620
0.085 0.880 0.950
0.750 0.894 0.606
0.250 0.176 0.324